## SiTcSe2 (GGA-PBEsol)

Data for crystalline SiTcSe2 at its relaxed geometry.

Cell lengths 2.869, 2.869, 9.009 Å; angles 90.00, 90.00, 112.61 degrees
Fractional coordinates of all 4 atoms:
1 Se 0.000 0.000 0.052
2 Se 0.500 0.500 0.709
3 Si 0.000 0.000 0.472
4 Tc 0.500 0.500 0.267

## Properties
Crystal system: orthorhombic
Magnetization (μB per atom): 0.00
Raw formation energy (eV/atom): 0.26
SG: Cmm2 (35)